## RbYMg2 (PBE)

Data for a relaxed RbYMg2 crystal.

## Properties
Symmetry   I-42d, No. 122
E_tot   -16.454 eV/cell
Formation energy   0.5985 eV per atom
Fermi-level density of states   5.26 states/eV/cell

abc: 9.162 9.162 7.420
angles: 51.87 51.87 90.00
Atoms (fractional coordinates):
Mg1 0.651 0.125 0.250
Rb1 0.250 0.750 0.500
Mg2 0.875 0.901 0.750
Y1 0.000 0.000 0.000
Mg3 0.375 0.349 0.750
Rb2 0.500 0.500 0.000
Y2 0.750 0.250 0.500
Mg4 0.099 0.625 0.250